A:
Entry from Alexandria: a relaxed Be3TcS crystal (PBE).

Fermi-level density of states = 2.91 states/eV/f.u.

Unit cell a=3.956 b=3.956 c=3.956 alpha=90.00 beta=90.00 gamma=90.00
Space group Pm-3m (No. 221)
One atom of each set of equivalent atoms:
Be  0.000  0.000  0.500 (multiplicity 3)
Tc  0.500  0.500  0.500 (multiplicity 1)
S  0.000  0.000  0.000 (multiplicity 1)


B:
Entry from Alexandria: a relaxed Be3TcS crystal (PBE).

Fermi-level density of states = 2.18 states/eV/f.u.

Unit cell a=4.240 b=4.240 c=4.240 alpha=90.00 beta=90.00 gamma=90.00
Space group Pm-3m (No. 221)
One atom of each set of equivalent atoms:
Be  0.000  0.000  0.500 (multiplicity 3)
Tc  0.000  0.000  0.000 (multiplicity 1)
S  0.500  0.500  0.500 (multiplicity 1)


Preferred: A; penalty for the next structure: 40.4 kJ/mol of atoms.


A:
Entry from Alexandria: a relaxed Be2Te2S crystal (PBE).

Fermi-level density of states = 3.50 states/eV/f.u.

Unit cell a=7.115 b=7.115 c=3.553 alpha=90.00 beta=90.00 gamma=90.00
Space group P4/mbm (No. 127)
One atom of each set of equivalent atoms:
Be  0.121  0.379  0.000 (multiplicity 4)
Te  0.166  0.666  0.500 (multiplicity 4)
S  0.000  0.000  0.000 (multiplicity 2)


B:
Entry from Alexandria: a relaxed Be2Te2S crystal (PBE).

Fermi-level density of states = 1.99 states/eV/f.u.

Unit cell a=4.638 b=4.638 c=13.041 alpha=90.00 beta=90.00 gamma=90.00
Space group I4/mmm (No. 139)
One atom of each set of equivalent atoms:
Be  0.000  0.000  0.145 (multiplicity 4)
Te  0.000  0.500  0.250 (multiplicity 4)
S  0.000  0.000  0.000 (multiplicity 2)


Preferred: B; penalty for the next structure: 51.1 kJ/mol of atoms.


A:
Entry from Alexandria: a relaxed BeZnTeS crystal (PBE).

Unit cell a=7.835 b=3.780 c=6.619 alpha=90.00 beta=98.33 gamma=90.00
Space group Cm (No. 8)
One atom of each set of equivalent atoms:
Be  0.000  0.000  0.000 (multiplicity 2)
Zn  0.420  0.000  0.523 (multiplicity 2)
Te  0.086  0.000  0.363 (multiplicity 2)
S  0.448  0.000  0.877 (multiplicity 2)


B:
Entry from Alexandria: a relaxed BeZnTeS crystal (PBE).

Unit cell a=3.9259 b=3.9259 c=6.4267 alpha=90.00 beta=90.00 gamma=120.00
Space group P3m1 (No. 156)
One atom of each set of equivalent atoms:
Be  0.0000  0.0000  0.0000 (multiplicity 1)
Zn  0.3333  0.6667  0.4483 (multiplicity 1)
Te  0.3333  0.6667  0.8613 (multiplicity 1)
S  0.0000  0.0000  0.3267 (multiplicity 1)


C:
Entry from Alexandria: a relaxed BeZnTeS crystal (PBE).

Unit cell a=3.879 b=3.944 c=5.586 alpha=90.00 beta=90.00 gamma=90.00
Space group Pmm2 (No. 25)
One atom of each set of equivalent atoms:
Be  0.000  0.000  0.000 (multiplicity 1)
Zn  0.500  0.500  0.565 (multiplicity 1)
Te  0.000  0.500  0.254 (multiplicity 1)
S  0.500  0.000  0.806 (multiplicity 1)


Preferred: B; penalty for the next structure: 4.1 kJ/mol of atoms.


A:
Entry from Alexandria: a relaxed TiBeS3 crystal (PBE).

Fermi-level density of states = 4.00 states/eV/f.u.

Unit cell a=4.276 b=4.276 c=4.276 alpha=90.00 beta=90.00 gamma=90.00
Space group Pm-3m (No. 221)
One atom of each set of equivalent atoms:
Ti  0.000  0.000  0.000 (multiplicity 1)
Be  0.500  0.500  0.500 (multiplicity 1)
S  0.000  0.500  0.500 (multiplicity 3)


B:
Entry from Alexandria: a relaxed TiBeS3 crystal (PBE).

Fermi-level density of states = 0.13 states/eV/f.u.

Unit cell a=3.397 b=6.575 c=10.480 alpha=90.00 beta=90.00 gamma=90.00
Space group Amm2 (No. 38)
One atom of each set of equivalent atoms:
Ti  0.000  0.000  0.000 (multiplicity 2)
Be  0.500  0.000  0.670 (multiplicity 2)
S  0.000  0.000  0.780 (multiplicity 2)
S  0.500  0.244  0.045 (multiplicity 4)


C:
Entry from Alexandria: a relaxed TiBeS3 crystal (PBE).

Fermi-level density of states = 1.99 states/eV/f.u.

Unit cell a=4.663 b=4.663 c=4.663 alpha=90.00 beta=90.00 gamma=90.00
Space group Pm-3m (No. 221)
One atom of each set of equivalent atoms:
Ti  0.000  0.000  0.000 (multiplicity 1)
Be  0.500  0.500  0.500 (multiplicity 1)
S  0.000  0.000  0.500 (multiplicity 3)


Preferred: B; penalty for the next structure: 95.1 kJ/mol of atoms.


A:
Entry from Alexandria: a relaxed Ti2BeS crystal (PBE).

Fermi-level density of states = 3.42 states/eV/f.u.

Unit cell a=5.251 b=5.251 c=11.203 alpha=90.00 beta=90.00 gamma=90.00
Space group I-42d (No. 122)
One atom of each set of equivalent atoms:
Ti  0.235  0.250  0.125 (multiplicity 8)
Be  0.000  0.000  0.000 (multiplicity 4)
S  0.000  0.000  0.500 (multiplicity 4)


B:
Entry from Alexandria: a relaxed Ti2BeS crystal (PBE).

Fermi-level density of states = 5.01 states/eV/f.u.

Unit cell a=6.002 b=6.002 c=6.002 alpha=90.00 beta=90.00 gamma=90.00
Space group Fm-3m (No. 225)
One atom of each set of equivalent atoms:
Ti  0.250  0.250  0.250 (multiplicity 8)
Be  0.000  0.000  0.000 (multiplicity 4)
S  0.000  0.000  0.500 (multiplicity 4)


Preferred: B; penalty for the next structure: 38.3 kJ/mol of atoms.


A:
Entry from Alexandria: a relaxed BeTlS2 crystal (PBE).

Fermi-level density of states = 3.75 states/eV/f.u.

Unit cell a=3.4333 b=3.4333 c=22.6860 alpha=90.00 beta=90.00 gamma=120.00
Space group R-3m (No. 166, hexagonal axes)
One atom of each set of equivalent atoms:
Be  0.0000  0.0000  0.0000 (multiplicity 3)
Tl  0.0000  0.0000  0.5000 (multiplicity 3)
S  0.0000  0.0000  0.3827 (multiplicity 6)


B:
Entry from Alexandria: a relaxed BeTlS2 crystal (PBE).

Fermi-level density of states = 2.15 states/eV/f.u.

Unit cell a=4.5027 b=4.5027 c=19.5570 alpha=90.00 beta=90.00 gamma=120.00
Space group R-3m (No. 166, hexagonal axes)
One atom of each set of equivalent atoms:
Be  0.0000  0.0000  0.0000 (multiplicity 3)
Tl  0.0000  0.0000  0.5000 (multiplicity 3)
S  0.0000  0.0000  0.0961 (multiplicity 6)


Preferred: B; penalty for the next structure: 11.4 kJ/mol of atoms.


A:
Entry from Alexandria: a relaxed BeTlS2 crystal (PBE).

Fermi-level density of states = 2.30 states/eV/f.u.

Unit cell a=6.662 b=6.662 c=6.662 alpha=90.00 beta=90.00 gamma=90.00
Space group Fm-3m (No. 225)
One atom of each set of equivalent atoms:
Be  0.000  0.000  0.000 (multiplicity 4)
Tl  0.000  0.000  0.500 (multiplicity 4)
S  0.250  0.250  0.250 (multiplicity 8)


B:
Entry from Alexandria: a relaxed BeTlS2 crystal (PBE).

Fermi-level density of states = 3.46 states/eV/f.u.

Unit cell a=5.921 b=5.921 c=9.895 alpha=90.00 beta=90.00 gamma=90.00
Space group I-42d (No. 122)
One atom of each set of equivalent atoms:
Be  0.000  0.000  0.000 (multiplicity 4)
Tl  0.000  0.000  0.500 (multiplicity 4)
S  0.148  0.250  0.125 (multiplicity 8)


Preferred: B; penalty for the next structure: 98.2 kJ/mol of atoms.


A:
Entry from Alexandria: a relaxed BeW2S crystal (PBE).

Fermi-level density of states = 2.92 states/eV/f.u.

Unit cell a=5.925 b=5.925 c=5.925 alpha=90.00 beta=90.00 gamma=90.00
Space group Fm-3m (No. 225)
One atom of each set of equivalent atoms:
Be  0.000  0.000  0.000 (multiplicity 4)
W  0.250  0.250  0.250 (multiplicity 8)
S  0.000  0.000  0.500 (multiplicity 4)


B:
Entry from Alexandria: a relaxed BeW2S crystal (PBE).

Fermi-level density of states = 2.15 states/eV/f.u.

Unit cell a=3.740 b=3.740 c=17.128 alpha=90.00 beta=90.00 gamma=90.00
Space group I-42d (No. 122)
One atom of each set of equivalent atoms:
Be  0.000  0.000  0.000 (multiplicity 4)
W  0.243  0.250  0.125 (multiplicity 8)
S  0.000  0.000  0.500 (multiplicity 4)


Preferred: A; penalty for the next structure: 16.4 kJ/mol of atoms.


A:
Entry from Alexandria: a relaxed YBe3S crystal (PBE).

Fermi-level density of states = 5.22 states/eV/f.u.

Unit cell a=5.156 b=5.156 c=5.156 alpha=90.00 beta=90.00 gamma=90.00
Space group Pm-3m (No. 221)
One atom of each set of equivalent atoms:
Y  0.000  0.000  0.000 (multiplicity 1)
Be  0.000  0.000  0.500 (multiplicity 3)
S  0.500  0.500  0.500 (multiplicity 1)


B:
Entry from Alexandria: a relaxed YBe3S crystal (PBE).

Fermi-level density of states = 1.37 states/eV/f.u.

Unit cell a=4.263 b=4.263 c=4.263 alpha=90.00 beta=90.00 gamma=90.00
Space group Pm-3m (No. 221)
One atom of each set of equivalent atoms:
Y  0.000  0.000  0.000 (multiplicity 1)
Be  0.000  0.500  0.500 (multiplicity 3)
S  0.500  0.500  0.500 (multiplicity 1)


Preferred: B; penalty for the next structure: 151.0 kJ/mol of atoms.


A:
Entry from Alexandria: a relaxed Y2BeS crystal (PBE).

Fermi-level density of states = 1.69 states/eV/f.u.

Unit cell a=7.194 b=7.194 c=7.293 alpha=90.00 beta=90.00 gamma=90.00
Space group I-42d (No. 122)
One atom of each set of equivalent atoms:
Y  0.245  0.250  0.125 (multiplicity 8)
Be  0.000  0.000  0.500 (multiplicity 4)
S  0.000  0.000  0.000 (multiplicity 4)


B:
Entry from Alexandria: a relaxed Y2BeS crystal (PBE).

Fermi-level density of states = 2.48 states/eV/f.u.

Unit cell a=6.883 b=6.883 c=6.883 alpha=90.00 beta=90.00 gamma=90.00
Space group Fm-3m (No. 225)
One atom of each set of equivalent atoms:
Y  0.250  0.250  0.250 (multiplicity 8)
Be  0.000  0.000  0.000 (multiplicity 4)
S  0.000  0.000  0.500 (multiplicity 4)


Preferred: A; penalty for the next structure: 4.4 kJ/mol of atoms.


A:
Entry from Alexandria: a relaxed YBeS3 crystal (PBE).

Fermi-level density of states = 3.79 states/eV/f.u.

Unit cell a=4.425 b=4.425 c=4.425 alpha=90.00 beta=90.00 gamma=90.00
Space group Pm-3m (No. 221)
One atom of each set of equivalent atoms:
Y  0.000  0.000  0.000 (multiplicity 1)
Be  0.500  0.500  0.500 (multiplicity 1)
S  0.000  0.500  0.500 (multiplicity 3)


B:
Entry from Alexandria: a relaxed YBeS3 crystal (PBE).

Fermi-level density of states = 6.38 states/eV/f.u.

Unit cell a=5.206 b=5.206 c=5.206 alpha=90.00 beta=90.00 gamma=90.00
Space group Pm-3m (No. 221)
One atom of each set of equivalent atoms:
Y  0.000  0.000  0.000 (multiplicity 1)
Be  0.500  0.500  0.500 (multiplicity 1)
S  0.000  0.000  0.500 (multiplicity 3)


Preferred: A; penalty for the next structure: 100.7 kJ/mol of atoms.


A:
Entry from Alexandria: a relaxed BeZnS3 crystal (PBE).

Fermi-level density of states = 3.91 states/eV/f.u.

Unit cell a=4.610 b=4.610 c=4.610 alpha=90.00 beta=90.00 gamma=90.00
Space group Pm-3m (No. 221)
One atom of each set of equivalent atoms:
Be  0.000  0.000  0.000 (multiplicity 1)
Zn  0.500  0.500  0.500 (multiplicity 1)
S  0.000  0.500  0.500 (multiplicity 3)


B:
Entry from Alexandria: a relaxed BeZnS3 crystal (PBE).

Fermi-level density of states = 4.03 states/eV/f.u.

Unit cell a=4.337 b=4.337 c=4.337 alpha=90.00 beta=90.00 gamma=90.00
Space group Pm-3m (No. 221)
One atom of each set of equivalent atoms:
Be  0.000  0.000  0.000 (multiplicity 1)
Zn  0.500  0.500  0.500 (multiplicity 1)
S  0.000  0.000  0.500 (multiplicity 3)


Preferred: B; penalty for the next structure: 55.2 kJ/mol of atoms.